An optimized crystal structure of Rb2HfSbSe5, computed with PBE.

```
Rb2HfSbSe5
1.0
2.133 -10.029 0.000
2.133 10.029 0.000
0.000 0.000 14.468
Rb Hf Sb Se
4 2 2 10
direct
0.126 0.874 0.500
0.133 0.867 0.140
0.867 0.133 0.640
0.874 0.126 0.000
0.209 0.791 0.854
0.791 0.209 0.354
0.440 0.560 0.253
0.560 0.440 0.753
0.060 0.940 0.865
0.300 0.700 0.467
0.312 0.688 0.220
0.329 0.671 0.821
0.497 0.503 0.099
0.503 0.497 0.599
0.671 0.329 0.321
0.688 0.312 0.720
0.700 0.300 0.967
0.940 0.060 0.365
```

Calculated values
* magnetic moment: 0.0 μB per cell
* formation energy without anion corrections: -0.892 eV per atom
* D(E_F): 2.39 states/eV/f.u.



An optimized crystal structure of Rb2HfTcSb, computed with PBE.

```
Rb2HfTcSb
1.0
7.033 0.000 0.000
0.000 7.033 0.000
0.000 0.000 4.595
Rb Hf Tc Sb
2 1 1 1
direct
0.000 0.500 0.000
0.500 0.000 0.000
0.000 0.000 0.000
0.000 0.000 0.500
0.500 0.500 0.500
```

Calculated values
* magnetic moment: 1.2 μB per cell
* formation energy without anion corrections: 1.265 eV per atom
* D(E_F): 5.51 states/eV/f.u.